Record 1
## HfTi2Ga (PBE)

Data for crystalline HfTi2Ga at its relaxed geometry.

a b c (Å): 9.845 9.845 3.827
angles (deg): 90.00 90.00 157.00
Positions (direct):
Hf 0.195 0.805 0.750
Hf 0.805 0.195 0.250
Ti 0.057 0.943 0.250
Ti 0.447 0.553 0.250
Ti 0.553 0.447 0.750
Ti 0.943 0.057 0.750
Ga 0.340 0.660 0.750
Ga 0.660 0.340 0.250

Calculated values
ΔE_f: -285 meV per atom
Symmetry: Cmcm (63)
Final energy: -7.478 eV/atom
Magnetization: 0.0 μB per formula unit

***

Record 2
## YHoErAg (PBE)

Data for crystalline YHoErAg at its relaxed geometry.

a b c (Å): 3.547 3.547 8.841
angles (deg): 90.00 90.00 90.00
Positions (direct):
Y 0.000 0.000 0.000
Ho 0.500 0.500 0.287
Er 0.000 0.000 0.569
Ag 0.500 0.500 0.778

Calculated values
ΔE_f: -133 meV per atom
Symmetry: P4mm (99)
Final energy: -4.747 eV/atom
Magnetization: 0.0 μB per formula unit

***

Record 3
## TaZn2BiO6 (PBE)

Data for crystalline TaZn2BiO6 at its relaxed geometry.

a b c (Å): 5.524 8.106 5.605
angles (deg): 90.00 92.90 90.00
Positions (direct):
Ta 0.000 0.000 0.000
Ta 0.000 0.500 0.000
Zn 0.019 0.250 0.516
Zn 0.482 0.750 0.025
Zn 0.518 0.250 0.975
Zn 0.981 0.750 0.484
Bi 0.500 0.000 0.500
Bi 0.500 0.500 0.500
O 0.098 0.750 0.127
O 0.134 0.572 0.694
O 0.134 0.928 0.694
O 0.319 0.074 0.124
O 0.319 0.426 0.124
O 0.370 0.250 0.636
O 0.630 0.750 0.364
O 0.681 0.574 0.876
O 0.681 0.926 0.876
O 0.866 0.072 0.306
O 0.866 0.428 0.306
O 0.902 0.250 0.873

Calculated values
Symmetry: P2_1/m (11)
Raw formation energy: -1.74 eV per atom
Final energy: -6.543 eV/atom
Magnetization: 0.0 μB per formula unit

***

Record 4
## YScIn3 (PBE)

Data for crystalline YScIn3 at its relaxed geometry.

a b c (Å): 5.363 5.363 5.363
angles (deg): 90.00 90.00 90.00
Positions (direct):
Y 0.000 0.000 0.000
Sc 0.500 0.500 0.500
In 0.000 0.500 0.500
In 0.500 0.000 0.500
In 0.500 0.500 0.000

Calculated values
ΔE_f: 253 meV per atom
Symmetry: Pm-3m (221)
Offset from the most stable computed form: 0.000 eV per formula unit
Final energy: -3.949 eV/atom
Magnetization: 0.0 μB per formula unit

***

Record 5
## Sc2HN (PBE)

Data for crystalline Sc2HN at its relaxed geometry.

a b c (Å): 3.925 3.925 3.925
angles (deg): 60.00 60.00 60.00
Positions (direct):
Sc 0.250 0.250 0.250
Sc 0.750 0.750 0.750
H 0.000 0.000 0.000
N 0.500 0.500 0.500

Calculated values
Symmetry: Fm-3m (225)
Final energy: -6.636 eV/atom
Magnetization: 0.9 μB per formula unit

***

Record 6
## Ac3AlIn (PBE)

Data for crystalline Ac3AlIn at its relaxed geometry.

a b c (Å): 11.854 11.854 5.545
angles (deg): 90.00 90.00 152.96
Positions (direct):
Ac 0.065 0.935 0.750
Ac 0.250 0.750 0.750
Ac 0.435 0.565 0.750
Ac 0.565 0.435 0.250
Ac 0.750 0.250 0.250
Ac 0.935 0.065 0.250
Al 0.156 0.844 0.250
Al 0.844 0.156 0.750
In 0.344 0.656 0.250
In 0.656 0.344 0.750

Calculated values
ΔE_f: -218 meV per atom
Symmetry: Cmcm (63)
Offset from the most stable computed form: 0.000 eV per formula unit
Final energy: -3.980 eV/atom
Magnetization: 0.0 μB per formula unit